Entry 1:
DFT (meta-GGA SCAN) results for a crystal of Ba3YRu2O9 relaxed with PBEsol.

Properties
* crystal system: hexagonal
* E_tot: -20.66 eV per atom
* total magnetization: 3.0 μB/f.u.
* raw formation energy: -2507 meV/atom

POSCAR file:
```
Ba3YRu2O9
1.0
5.8580 0.0000 0.0000
-2.9290 5.0731 0.0000
0.0000 0.0000 14.3594
O Ba Y Ru
18 6 2 4
Cartesian
4.3064 0.8958 8.4479
2.9290 3.2815 13.0912
1.3774 4.1773 5.9115
1.5516 0.8958 8.4479
-1.3774 4.1773 5.9115
1.5516 0.8958 13.0912
4.3135 2.4904 10.7695
2.9290 0.0923 10.7695
2.9290 3.2815 8.4479
-1.3845 2.5827 3.5898
1.3845 2.5827 3.5898
0.0000 1.7916 5.9115
1.5445 2.4904 10.7695
0.0000 4.9808 3.5898
4.3064 0.8958 13.0912
0.0000 1.7916 1.2682
-1.3774 4.1773 1.2682
1.3774 4.1773 1.2682
2.9290 1.6910 5.8204
0.0000 0.0000 3.5898
2.9290 1.6910 1.3593
0.0000 0.0000 10.7695
0.0000 3.3821 8.5389
0.0000 3.3821 13.0001
0.0000 0.0000 7.1797
0.0000 0.0000 0.0000
2.9290 1.6910 9.5437
0.0000 3.3821 2.3640
0.0000 3.3821 4.8157
2.9290 1.6910 11.9953
```

Entry 2:
DFT (meta-GGA SCAN) results for a crystal of Ba3ZnRu2O9 relaxed with PBEsol.

Properties
* crystal system: hexagonal
* E_tot: -19.31 eV per atom
* total magnetization: 6.0 μB/f.u.
* raw formation energy: -2117 meV/atom

POSCAR file:
```
Ba3ZnRu2O9
1.0
-3.6920 -1.0453 -4.2928
5.6437 0.3632 -1.0810
1.3268 -13.9225 2.2492
O Ru Ba Zn
18 4 6 2
Cartesian
0.1515 -11.2792 -2.9989
1.4499 -3.8002 -2.0756
0.4779 -8.4293 -0.3370
-1.3222 -8.9390 -2.4300
1.4295 -8.7619 -2.9571
2.8005 -6.1753 -2.7875
3.1270 -3.3254 -0.1256
-0.7351 -10.9694 -0.5579
0.9177 -13.0446 0.4086
4.1608 -1.0504 -1.4401
1.4092 -1.2275 -0.9130
1.8490 -5.8427 -0.1674
4.0135 -3.6352 -2.5666
-0.8824 -13.5542 -1.6844
4.6006 -5.6657 -0.6945
1.8285 -10.8044 -1.0489
1.8693 -13.3771 -2.2115
2.3607 -1.5601 -3.5331
0.2880 -9.6852 -1.7505
0.5419 -12.3501 -1.3200
2.7365 -2.2545 -1.8045
2.9904 -4.9194 -1.3740
3.7392 -12.7765 -0.1046
-0.0361 -6.2848 -2.2999
0.3317 -3.4806 0.5623
-0.4608 -1.8281 -3.0198
0.9951 -10.4418 1.6869
3.3145 -8.3198 -0.8246
0.0000 0.0000 0.0000
0.6634 -6.9612 1.1246
```

Entry 3:
DFT (meta-GGA SCAN) results for a crystal of Ba3ZrRu2O9 relaxed with PBEsol.

Properties
* crystal system: hexagonal
* E_tot: -20.91 eV per atom
* total magnetization: 2.0 μB/f.u.
* raw formation energy: -2571 meV/atom

POSCAR file:
```
Ba3ZrRu2O9
1.0
-2.6590 -1.1499 -4.9882
2.7379 -4.2051 2.8453
-11.9919 -3.0125 7.0869
O Ru Ba Zr
18 4 6 2
Cartesian
-1.6557 -2.9229 3.1207
-0.5168 -1.8833 0.7096
-9.0102 -4.9053 4.1628
-4.4786 -5.4998 2.0286
-11.3962 -6.4843 4.2343
-8.7312 -3.4286 0.4827
-1.6187 -5.4345 2.1156
-2.9028 -3.4622 0.7812
-11.4346 -3.8727 5.2794
-10.2943 -2.9331 2.8284
-0.4784 -4.4949 -0.3354
-7.3959 -5.4794 1.8703
-7.4344 -2.8678 2.9154
-3.1818 -4.9390 4.4613
-10.2573 -5.4447 1.8233
-4.5171 -2.8882 3.0737
0.8184 -3.9341 2.0973
-12.7314 -4.4335 2.8467
-10.8978 -4.6899 3.5551
-1.0152 -3.6776 1.3889
-3.1029 -4.2021 2.6228
-8.8101 -4.1655 2.3212
-5.7445 -3.3954 0.5096
-6.1685 -4.9722 4.4344
-8.9939 -2.2594 5.3152
-9.9415 -5.9200 6.6642
-2.9980 -0.7531 1.7717
-1.9715 -2.4475 -1.7202
-5.9959 -1.5063 3.5435
0.0000 0.0000 0.0000
```

Entry 4:
DFT (meta-GGA SCAN) results for a crystal of Ba4ZrRu3O12 relaxed with PBEsol.

Properties
* crystal system: trigonal
* E_tot: -20.85 eV per atom
* total magnetization: 4.0 μB/f.u.
* raw formation energy: -2446 meV/atom

POSCAR file:
```
Ba4ZrRu3O12
1.0
5.7751 0.0000 0.0000
2.8875 5.0014 0.0000
2.8875 1.6671 9.5896
Zr Ba O Ru
1 4 12 3
Cartesian
0.0000 0.0000 0.0000
8.6626 5.0014 8.2454
2.8875 1.6671 1.3442
2.8875 1.6671 5.8879
8.6626 5.0014 3.7016
5.7751 4.8926 3.5443
4.3640 2.5196 8.4099
7.1861 4.1489 1.1797
7.1247 4.1134 6.0453
4.4255 2.5551 3.5443
5.7751 1.7049 1.1797
4.4255 4.1134 6.0453
5.7751 1.7759 6.0453
7.1247 2.5551 3.5443
7.1861 2.5196 8.4099
5.7751 4.9636 8.4099
4.3641 4.1489 1.1797
5.7751 3.3342 4.7948
5.7751 3.3342 7.3104
5.7751 3.3342 2.2792
```

Entry 5:
DFT (meta-GGA SCAN) results for a crystal of BaSO4 relaxed with PBEsol.

Properties
* crystal system: orthorhombic
* E_tot: -14.88 eV per atom
* total magnetization: 0.0 μB/f.u.
* raw formation energy: -2531 meV/atom

POSCAR file:
```
BaSO4
1.0
-2.2166 4.8243 1.1269
-6.4263 -2.5166 -1.8668
-1.4124 -2.6050 8.3738
O Ba S
16 4 4
Cartesian
-5.3746 0.0353 3.0569
-1.5623 1.9145 1.0908
-4.0244 2.0442 2.9443
-5.9100 1.7688 0.4017
-2.8188 -1.0808 5.6236
-4.8018 1.1796 5.1165
-5.9389 -1.2794 0.3243
-7.8931 -1.5900 3.6442
-6.3638 2.1857 3.5588
-5.2785 -0.9536 7.4765
-6.2677 1.1967 7.9787
-7.3574 -3.3267 6.2983
-2.0415 -0.2162 3.4513
-7.3286 -0.2784 6.3756
-0.5752 -0.2366 0.5884
-6.9060 -3.7410 3.1414
-3.4289 -0.2996 1.0733
-3.4133 1.2608 7.4941
-5.3350 -2.0721 4.9116
-7.9334 0.5165 1.7889
-5.1152 1.3681 3.6902
-1.7276 -0.4057 4.8774
-6.5796 -0.2329 7.6564
-6.6883 -1.3240 -0.9562
```

Entry 6:
DFT (meta-GGA SCAN) results for a crystal of Ba3Sb2O6 relaxed with PBEsol.

Properties
* crystal system: triclinic
* E_tot: -23.33 eV per atom
* total magnetization: 0.0 μB/f.u.
* raw formation energy: -2370 meV/atom

POSCAR file:
```
Ba3Sb2O6
1.0
-4.2810 -3.5021 2.7146
-1.0789 -0.8335 -9.6728
8.5757 -7.9785 2.9791
O Ba Sb
18 9 6
Cartesian
4.3277 -9.1972 1.3978
3.3285 -4.9393 -5.5298
2.4404 -5.8443 1.1813
-3.1832 -5.2312 -0.9888
5.9569 -5.9287 1.1080
0.7754 -6.4697 -5.1604
0.0592 -5.1670 -0.4387
-2.1070 -4.0363 2.1557
-1.1119 -3.1169 -5.3768
-0.9815 -3.1030 -2.3872
-0.1127 -7.3747 1.5507
6.3990 -7.0828 -2.9902
-2.7412 -6.3853 -5.0871
3.1565 -7.1470 -3.5403
4.1973 -9.2111 -1.5918
-0.0058 -2.0448 0.7637
3.2216 -10.2693 -4.7428
5.3228 -8.2778 -6.1347
-0.5467 -4.8875 -7.1459
3.7624 -7.4266 3.1668
4.6533 -6.7276 -1.1462
-1.4375 -5.5864 -2.8329
1.5204 -3.0343 -1.3985
1.6954 -9.2797 -2.5806
5.5522 -9.5428 -3.7941
-2.3364 -2.7713 -0.1850
4.2878 -3.9892 1.4896
7.2290 -7.2838 1.7634
-4.0132 -5.0303 -5.7424
2.1550 -5.5739 -4.0840
-0.8678 -1.8550 -3.8949
1.0608 -6.7401 0.1049
4.0836 -10.4591 -0.0842
```

Entry 7:
DFT (meta-GGA SCAN) results for a crystal of Ba3SrSb2O9 relaxed with PBEsol.

Properties
* crystal system: triclinic
* E_tot: -20.63 eV per atom
* total magnetization: 0.0 μB/f.u.
* raw formation energy: -2532 meV/atom

POSCAR file:
```
Ba3SrSb2O9
1.0
-5.0664 -2.8927 1.6928
4.8099 -3.2294 -1.9205
5.4300 -0.0157 14.1965
Ba O Sr Sb
6 18 2 4
Cartesian
1.4281 -3.1605 8.8806
1.2026 -6.0562 3.3082
3.9709 -0.0817 10.6606
3.7454 -2.9773 5.0881
3.1820 -2.9627 13.2593
1.9916 -3.1751 0.7094
-1.0614 -2.3979 6.8380
6.1958 -4.5082 9.8971
-0.6225 -2.0582 1.1628
5.8818 -1.2541 12.1831
3.7389 -4.6785 8.2792
-0.7082 -4.8838 1.7857
4.0709 -1.9009 7.6587
0.9862 -3.2089 3.4398
8.0825 -2.9169 11.3906
-1.0223 -1.6297 4.0716
4.1873 -2.9290 10.5290
-2.9089 -3.2210 2.5781
1.1026 -4.2370 6.3100
-1.1684 -4.2279 4.5618
6.2350 -3.7400 7.1307
1.4346 -1.4593 5.6896
5.7961 -4.0797 12.8060
6.3420 -1.9100 9.4070
2.7150 -0.0078 7.0983
0.0000 0.0000 0.0000
0.1190 -2.8489 5.3576
5.0545 -3.2890 8.6112
6.1476 -2.9512 11.2635
-0.9740 -3.1867 2.7052
```

Entry 8:
DFT (meta-GGA SCAN) results for a crystal of Ba4Sr2Y3Sb3O18 relaxed with PBEsol.

Properties
* crystal system: triclinic
* E_tot: -19.96 eV per atom
* total magnetization: 0.0 μB/f.u.
* raw formation energy: -2951 meV/atom

POSCAR file:
```
Ba4Sr2Y3Sb3O18
1.0
-4.6858 2.9027 -2.1466
0.0544 -3.4856 -4.7625
-5.2930 -7.8119 9.2866
O Sr Ba Sb Y
18 2 4 3 3
Cartesian
-6.3729 -8.7427 2.4249
-3.5379 0.3355 -0.0541
-1.3460 -3.3415 -1.4555
-8.4919 -7.1051 1.5184
-1.0984 -1.9580 -3.9148
-1.4509 -1.3137 0.8536
-6.1293 -3.8945 4.7851
-6.3797 -4.3111 -0.7262
-8.8283 -6.4449 6.2772
-3.9456 -6.9763 2.9502
-3.4686 -1.7686 -2.3319
-6.4853 -6.6787 4.7520
-3.7099 -4.6021 -2.4298
-6.1802 -2.8996 1.7610
-8.5771 -4.9507 3.8305
-3.7206 -5.3433 0.6021
-3.6327 -4.1686 3.1691
-5.9265 -1.5052 -0.6196
-3.9405 -5.2132 5.6243
-3.7239 -2.7559 0.2071
-1.1578 -0.1499 -1.7243
-6.0227 -3.1550 -3.2265
-8.7551 -8.2560 4.0918
-6.2103 -5.5441 2.1645
-7.5066 -5.1401 5.5115
-2.4121 -3.2603 -3.1356
-2.6258 -5.6446 2.2609
-5.1386 -8.3359 4.2048
-4.7840 -0.0586 -1.8326
-4.9361 -5.9337 -1.1834
```

> Which of these has the highest total magnetization?

Ba3ZnRu2O9

> What is the E_tot in the sixth record?

-23.33 eV per atom